CuReTcB | PBE | optimized geometry

Unit cell a=4.1237 b=4.1237 c=4.1237 alpha=60.00 beta=60.00 gamma=60.00
Atoms (fractional coordinates):
B (0.5000, 0.5000, 0.5000)
Cu (0.7500, 0.7500, 0.7500)
Re (0.2500, 0.2500, 0.2500)
Tc (0.0000, 0.0000, 0.0000)

Total DFT energy (no corrections) (eV/f.u.): -30.66
Space-group type: F-43m, No. 216



TaCuSbIr | PBE | optimized geometry

Unit cell a=4.5670 b=4.5670 c=4.5670 alpha=60.00 beta=60.00 gamma=60.00
Atoms (fractional coordinates):
Cu (0.7500, 0.7500, 0.7500)
Ir (0.5000, 0.5000, 0.5000)
Sb (0.0000, 0.0000, 0.0000)
Ta (0.2500, 0.2500, 0.2500)

Total DFT energy (no corrections) (eV/f.u.): -28.06
Space-group type: F-43m, No. 216



K2TcSe2S | PBE | optimized geometry

Unit cell a=6.7983 b=7.4033 c=8.5956 alpha=74.53 beta=69.90 gamma=67.59
Atoms (fractional coordinates):
K (0.6094, 0.1926, 0.1260)
K (0.8471, 0.5657, 0.3061)
K (0.1529, 0.4343, 0.6939)
K (0.3906, 0.8074, 0.8740)
S (0.7680, 0.9604, 0.4797)
S (0.2320, 0.0396, 0.5203)
Se (0.1311, 0.1818, 0.0939)
Se (0.3358, 0.6221, 0.2840)
Se (0.6642, 0.3779, 0.7160)
Se (0.8689, 0.8182, 0.9061)
Tc (0.1201, 0.9478, 0.3431)
Tc (0.8799, 0.0522, 0.6569)

Total DFT energy (no corrections) (eV/f.u.): -28.22
Space-group type: P-1, No. 2



SrNb2Al2O7 | PBE | optimized geometry

Unit cell a=8.3161 b=8.3161 c=8.3161 alpha=38.12 beta=38.12 gamma=38.12
Atoms (fractional coordinates):
Al (0.0730, 0.0730, 0.0730)
Al (0.9270, 0.9270, 0.9270)
Nb (0.2663, 0.2663, 0.2663)
Nb (0.7337, 0.7337, 0.7337)
O (0.0000, 0.0000, 0.0000)
O (0.4180, 0.8065, 0.0726)
O (0.5820, 0.9274, 0.1935)
O (0.8065, 0.0726, 0.4180)
O (0.9274, 0.1935, 0.5820)
O (0.0726, 0.4180, 0.8065)
O (0.1935, 0.5820, 0.9274)
Sr (0.5000, 0.5000, 0.5000)

Total DFT energy (no corrections) (eV/f.u.): -90.72
Space-group type: R32, No. 155



GdPa | PBE | optimized geometry

Unit cell a=4.3588 b=4.3588 c=4.3588 alpha=60.00 beta=60.00 gamma=60.00
Atoms (fractional coordinates):
Gd (0.0000, 0.0000, 0.0000)
Pa (0.5000, 0.5000, 0.5000)

Energy of formation from the pure elements (meV/atom): 1265
Space-group type: Fm-3m, No. 225



Hf2Cu2Pb | PBE | optimized geometry

Unit cell a=7.1833 b=7.1833 c=7.1833 alpha=148.89 beta=148.89 gamma=44.57
Atoms (fractional coordinates):
Cu (0.7500, 0.2500, 0.5000)
Cu (0.2500, 0.7500, 0.5000)
Hf (0.3880, 0.3880, 0.0000)
Hf (0.6120, 0.6120, 0.0000)
Pb (0.0000, 0.0000, 0.0000)

Total DFT energy (no corrections) (eV/f.u.): -29.32
Space-group type: I4/mmm, No. 139



RbCuTePd | PBE | optimized geometry

Unit cell a=5.1742 b=5.1742 c=5.1742 alpha=60.00 beta=60.00 gamma=60.00
Atoms (fractional coordinates):
Cu (0.7500, 0.7500, 0.7500)
Pd (0.5000, 0.5000, 0.5000)
Rb (0.2500, 0.2500, 0.2500)
Te (0.0000, 0.0000, 0.0000)

Total DFT energy (no corrections) (eV/f.u.): -11.57
Space-group type: F-43m, No. 216



Os2Se3S | PBE | optimized geometry

Unit cell a=10.8621 b=10.8621 c=5.6600 alpha=90.51 beta=90.51 gamma=18.72
Atoms (fractional coordinates):
Os (0.0025, 0.0025, 0.0350)
Os (0.5023, 0.5023, 0.6478)
S (0.0714, 0.0714, 0.7206)
Se (0.4388, 0.4388, 0.2578)
Se (0.5661, 0.5661, 0.2627)
Se (0.9189, 0.9189, 0.7321)

Total DFT energy (no corrections) (eV/f.u.): -37.09
Space-group type: Cm, No. 8